## FeAsW (GGA-PBEsol)

Data for FeAsW after structural relaxation.

Calculated values
Energy, eV/f.u.: -27.1
Volume, A^3/atom: 13.8
Energy of formation, eV per atom: 0.249

a b c (Å): 2.7960 2.7960 6.1038
angles (deg): 90.00 90.00 120.00
Space group P3m1 (No. 156)
One atom of each set of equivalent atoms:
Fe 0.0000 0.0000 0.0000 (multiplicity 1)
As 0.6667 0.3333 0.3038 (multiplicity 1)
W 0.3333 0.6667 0.6754 (multiplicity 1)